A relaxed structure of KFeNO2. Source: Alexandria, functional PBE+U.

Computed properties:
Total magnetic moment: 8.08 μB/cell
Theoretical density: 2.4 Mg/m³
SG: P4/mmm
DFT total energy: -3.361 eV/atom

Cell: 4.5813 4.5813 4.6256 Å, 90.00 90.00 90.00°
Atoms (fractional coordinates):
K (0.0000, 0.0000, 0.0000)
Fe (0.5000, 0.5000, 0.5000)
O (0.0000, 0.5000, 0.0000)
O (0.5000, 0.0000, 0.0000)
N (0.0000, 0.0000, 0.5000)